## Tm4InAgRu2 (PBE-GGA)

Data for crystalline Tm4InAgRu2 at its relaxed geometry.

Values from the calculation:
Mass density ... 10.69 Mg/m³
Formation energy ... -36.9 kJ per mole of atoms
Total energy ... -5.635 eV/atom
SG ... No. 166
Magnetic moment ... 0.0000 μB/atom

abc: 8.566 8.566 8.566
angles: 33.55 33.55 33.55
Sites, in units of the cell vectors:
Tm  0.122  0.122  0.122
Tm  0.372  0.372  0.372
Tm  0.628  0.628  0.628
Tm  0.878  0.878  0.878
In  0.500  0.500  0.500
Ag  0.000  0.000  0.000
Ru  0.249  0.249  0.249
Ru  0.751  0.751  0.751